Tl2InHg5: optimized geometry, PBE-GGA.

Results
crystal system: tetragonal
SG: No. 123
DFT total energy: -1.02 eV per atom

```
data_Tl2InHg5
_chemical_formula_sum 'Tl2 In1 Hg5'
_space_group_name_H-M_alt 'P 1'
_space_group_IT_number 1
_cell_length_a 7.074
_cell_length_b 7.074
_cell_length_c 5.383
_cell_angle_alpha 90.00
_cell_angle_beta 90.00
_cell_angle_gamma 90.00
loop_
_space_group_symop_operation_xyz
'x,y,z'
loop_
_atom_site_label
_atom_site_type_symbol
_atom_site_fract_x
_atom_site_fract_y
_atom_site_fract_z
Tl1 Tl 0.000 0.500 0.000
Tl2 Tl 0.500 0.000 0.000
In1 In 0.000 0.000 0.500
Hg1 Hg 0.000 0.000 0.000
Hg2 Hg 0.292 0.292 0.500
Hg3 Hg 0.292 0.708 0.500
Hg4 Hg 0.708 0.292 0.500
Hg5 Hg 0.708 0.708 0.500
```

---

Tl4In3Hg: optimized geometry, PBE-GGA.

Results
crystal system: monoclinic
SG: No. 12
DFT total energy: -2.22 eV per atom

```
data_Tl4In3Hg
_chemical_formula_sum 'Tl4 In3 Hg1'
_space_group_name_H-M_alt 'P 1'
_space_group_IT_number 1
_cell_length_a 12.827
_cell_length_b 12.827
_cell_length_c 5.553
_cell_angle_alpha 101.42
_cell_angle_beta 101.42
_cell_angle_gamma 15.30
loop_
_space_group_symop_operation_xyz
'x,y,z'
loop_
_atom_site_label
_atom_site_type_symbol
_atom_site_fract_x
_atom_site_fract_y
_atom_site_fract_z
Tl1 Tl 0.134 0.134 0.148
Tl2 Tl 0.272 0.272 0.270
Tl3 Tl 0.728 0.728 0.730
Tl4 Tl 0.866 0.866 0.852
In1 In 0.399 0.399 0.381
In2 In 0.500 0.500 0.000
In3 In 0.601 0.601 0.619
Hg1 Hg 0.000 0.000 0.500
```

---

Tl10InHg4: optimized geometry, PBE-GGA.

Results
crystal system: tetragonal
SG: No. 87
DFT total energy: -1.78 eV per atom

```
data_Tl10InHg4
_chemical_formula_sum 'Tl10 In1 Hg4'
_space_group_name_H-M_alt 'P 1'
_space_group_IT_number 1
_cell_length_a 8.969
_cell_length_b 8.969
_cell_length_c 8.969
_cell_angle_alpha 99.92
_cell_angle_beta 99.92
_cell_angle_gamma 130.95
loop_
_space_group_symop_operation_xyz
'x,y,z'
loop_
_atom_site_label
_atom_site_type_symbol
_atom_site_fract_x
_atom_site_fract_y
_atom_site_fract_z
Tl1 Tl 0.048 0.350 0.900
Tl2 Tl 0.149 0.048 0.698
Tl3 Tl 0.250 0.750 0.500
Tl4 Tl 0.350 0.451 0.302
Tl5 Tl 0.451 0.149 0.100
Tl6 Tl 0.549 0.851 0.900
Tl7 Tl 0.650 0.549 0.698
Tl8 Tl 0.750 0.250 0.500
Tl9 Tl 0.851 0.952 0.302
Tl10 Tl 0.952 0.650 0.100
In1 In 0.000 0.000 0.000
Hg1 Hg 0.201 0.401 0.602
Hg2 Hg 0.401 0.799 0.199
Hg3 Hg 0.599 0.201 0.801
Hg4 Hg 0.799 0.599 0.398
```

---

Tl4InHg8: optimized geometry, PBE-GGA.

Results
crystal system: orthorhombic
SG: No. 25
DFT total energy: -1.12 eV per atom

```
data_Tl4InHg8
_chemical_formula_sum 'Tl4 In1 Hg8'
_space_group_name_H-M_alt 'P 1'
_space_group_IT_number 1
_cell_length_a 4.255
_cell_length_b 5.054
_cell_length_c 17.513
_cell_angle_alpha 90.00
_cell_angle_beta 90.00
_cell_angle_gamma 90.00
loop_
_space_group_symop_operation_xyz
'x,y,z'
loop_
_atom_site_label
_atom_site_type_symbol
_atom_site_fract_x
_atom_site_fract_y
_atom_site_fract_z
Tl1 Tl 0.000 0.000 0.000
Tl2 Tl 0.000 0.500 0.150
Tl3 Tl 0.500 0.000 0.433
Tl4 Tl 0.500 0.500 0.652
In1 In 0.000 0.000 0.737
Hg1 Hg 0.000 0.000 0.290
Hg2 Hg 0.000 0.000 0.571
Hg3 Hg 0.000 0.500 0.463
Hg4 Hg 0.000 0.500 0.836
Hg5 Hg 0.500 0.000 0.151
Hg6 Hg 0.500 0.000 0.860
Hg7 Hg 0.500 0.500 0.306
Hg8 Hg 0.500 0.500 0.987
```

---

TlIn4Hg: optimized geometry, PBE-GGA.

Results
crystal system: triclinic
SG: No. 2
DFT total energy: -2.25 eV per atom

```
data_TlIn4Hg
_chemical_formula_sum 'Tl1 In4 Hg1'
_space_group_name_H-M_alt 'P 1'
_space_group_IT_number 1
_cell_length_a 3.561
_cell_length_b 4.795
_cell_length_c 9.892
_cell_angle_alpha 93.49
_cell_angle_beta 100.03
_cell_angle_gamma 90.86
loop_
_space_group_symop_operation_xyz
'x,y,z'
loop_
_atom_site_label
_atom_site_type_symbol
_atom_site_fract_x
_atom_site_fract_y
_atom_site_fract_z
Tl1 Tl 0.000 0.000 0.000
In1 In 0.300 0.007 0.341
In2 In 0.355 0.494 0.823
In3 In 0.645 0.506 0.177
In4 In 0.700 0.993 0.659
Hg1 Hg 0.000 0.500 0.500
```

---

Tl5InHg5: optimized geometry, PBE-GGA.

Results
crystal system: hexagonal
SG: No. 187
DFT total energy: -1.41 eV per atom

```
data_Tl5InHg5
_chemical_formula_sum 'Tl5 In1 Hg5'
_space_group_name_H-M_alt 'P 1'
_space_group_IT_number 1
_cell_length_a 5.831
_cell_length_b 5.831
_cell_length_c 11.287
_cell_angle_alpha 90.00
_cell_angle_beta 90.00
_cell_angle_gamma 120.00
loop_
_space_group_symop_operation_xyz
'x,y,z'
loop_
_atom_site_label
_atom_site_type_symbol
_atom_site_fract_x
_atom_site_fract_y
_atom_site_fract_z
Tl1 Tl 0.000 0.000 0.000
Tl2 Tl 0.333 0.667 0.309
Tl3 Tl 0.333 0.667 0.691
Tl4 Tl 0.667 0.333 0.157
Tl5 Tl 0.667 0.333 0.843
In1 In 0.333 0.667 0.000
Hg1 Hg 0.000 0.000 0.263
Hg2 Hg 0.000 0.000 0.737
Hg3 Hg 0.339 0.169 0.500
Hg4 Hg 0.831 0.169 0.500
Hg5 Hg 0.831 0.661 0.500
```